No. 1
Below is crystalline Li2InReN4 at its relaxed geometry, with properties calculated at the PBE-GGA level.

Geometry as POSCAR:
```
Li2InReN4
1.0
-3.262 -1.752 -3.965
4.289 -3.419 -2.018
-2.119 -4.988 3.948
Li N In Re
4 8 2 2
Direct
0.996 0.668 0.750
0.496 0.332 0.250
0.496 0.332 0.750
0.996 0.668 0.250
0.388 0.675 0.723
0.837 0.829 0.500
0.388 0.675 0.277
0.888 0.325 0.777
0.896 0.876 0.000
0.888 0.325 0.223
0.396 0.124 0.500
0.337 0.171 0.000
0.498 0.828 0.000
0.998 0.172 0.500
0.001 0.174 0.000
0.501 0.826 0.500
```

Values from the calculation:
Its formation energy from raw total energies is -0.29 eV per atom.

No. 2
Below is crystalline Ni3RuPt4 at its relaxed geometry, with properties calculated at the PBE-GGA level.

Geometry as POSCAR:
```
Ni3RuPt4
1.0
-3.792 0.455 0.323
0.041 -2.002 3.268
2.966 7.119 2.081
Ni Ru Pt
3 1 4
Direct
0.249 0.749 0.499
0.751 0.251 0.501
0.000 0.500 0.000
0.500 0.000 0.000
0.627 0.627 0.254
0.373 0.373 0.746
0.127 0.127 0.254
0.873 0.873 0.746
```

Values from the calculation:
As for the formation energy: -3.98 kJ/mol of atoms.

No. 3
Below is crystalline Pm3Nd8Er2 at its relaxed geometry, with properties calculated at the PBE-GGA level.

Geometry as POSCAR:
```
Pm3Nd8Er2
1.0
-2.202 -1.727 -5.100
6.434 -4.105 -1.388
-7.424 -6.079 5.265
Nd Er Pm
8 2 3
Direct
0.000 0.134 0.269
0.500 0.600 0.784
0.000 0.326 0.651
0.000 0.866 0.731
0.500 0.815 0.215
0.000 0.674 0.349
0.500 0.400 0.216
0.500 0.185 0.785
0.500 0.759 0.518
0.500 0.241 0.482
0.500 0.000 0.000
0.000 0.288 0.000
0.000 0.712 0.000
```

Values from the calculation:
The energy above the most stable polymorph in this dataset is 55 meV/atom. As for the formation energy: 20.22 kJ/mol of atoms.

No. 4
Below is crystalline ScCoBr2 at its relaxed geometry, with properties calculated at the PBE-GGA level.

Geometry as POSCAR:
```
ScCoBr2
1.0
-3.541 -3.596 7.015
-0.140 -4.113 7.599
-1.608 -1.057 8.425
Sc Br Co
1 2 1
Direct
0.500 0.500 0.500
0.093 0.093 0.093
0.907 0.907 0.907
0.000 0.000 0.000
```

Values from the calculation:
Its formation energy from raw total energies is -0.28 eV per atom. The energy above the most stable polymorph in this dataset is 377 meV/atom.

No. 5
Below is crystalline Y5Te2Au2 at its relaxed geometry, with properties calculated at the PBE-GGA level.

Geometry as POSCAR:
```
Y5Te2Au2
1.0
-8.022 -0.090 -0.010
0.056 -4.244 -6.728
-3.943 -6.580 4.118
Y Au Te
10 4 4
Direct
0.462 0.160 0.752
0.038 0.660 0.248
0.713 0.340 0.248
0.213 0.160 0.248
0.000 0.000 0.000
0.962 0.340 0.752
0.287 0.660 0.752
0.500 0.500 0.000
0.787 0.840 0.752
0.538 0.840 0.248
0.636 0.133 0.000
0.136 0.367 0.000
0.864 0.633 0.000
0.364 0.867 0.000
0.794 0.000 0.412
0.206 0.000 0.588
0.706 0.500 0.588
0.294 0.500 0.412
```

Values from the calculation:
Its formation energy from raw total energies is -1.01 eV per atom.

No. 6
Below is crystalline Tc3W4 at its relaxed geometry, with properties calculated at the PBE-GGA level.

Geometry as POSCAR:
```
Tc3W4
1.0
3.142 0.000 0.000
-1.571 11.155 -0.005
0.000 0.444 3.111
W Tc
4 3
Direct
0.857 0.713 0.143
0.428 0.855 0.572
0.572 0.145 0.428
0.143 0.287 0.857
0.712 0.423 0.288
0.288 0.577 0.712
0.000 0.000 0.000
```

Values from the calculation:
The energy above the most stable polymorph in this dataset is 0 meV/atom. As for the formation energy: 7.32 kJ/mol of atoms.

No. 7
Below is crystalline PbBr5 at its relaxed geometry, with properties calculated at the PBE-GGA level.

Geometry as POSCAR:
```
PbBr5
1.0
-5.622 -2.426 -1.268
-4.789 3.770 -1.398
-2.239 0.178 -5.836
Br Pb
5 1
Direct
0.625 0.625 0.625
0.250 0.250 0.250
0.625 0.125 0.625
0.125 0.625 0.625
0.625 0.625 0.125
0.000 0.000 0.000
```

Values from the calculation:
Its formation energy from raw total energies is 0.17 eV per atom. The energy above the most stable polymorph in this dataset is 516 meV/atom.

No. 8
Below is crystalline Nb2SI3 at its relaxed geometry, with properties calculated at the PBE-GGA level.

Geometry as POSCAR:
```
Nb2SI3
1.0
3.621 0.000 0.000
-1.811 10.469 -3.240
0.000 0.150 10.986
Nb S I
4 2 6
Direct
0.399 0.798 0.459
0.916 0.832 0.266
0.084 0.168 0.734
0.601 0.202 0.541
0.512 0.023 0.637
0.488 0.977 0.363
0.198 0.396 0.673
0.802 0.604 0.327
0.878 0.756 0.666
0.637 0.273 0.945
0.363 0.727 0.055
0.122 0.244 0.334
```

Values from the calculation:
Its formation energy from raw total energies is -0.50 eV per atom.

The evaluated E_tot for the records listed, in turn: -6.83, -6.39, -4.52, -4.48, -6.03, -11.77, -1.84, -5.32 eV per atom.
The evaluated N(E_F) for the records listed, in turn: 0.00, 1.70, 1.47, 0.80, 1.08, 0.78, 1.00, 0.41 states/eV per atom.